MnBi2Br | PBE | relaxed

Geometry as POSCAR:
```
MnBi2Br
1.0
-2.829 -3.493 4.743
4.998 -4.207 -0.117
4.157 -0.323 6.742
Br Mn Bi
2 2 4
direct
0.000 0.000 0.000
0.750 0.250 0.500
0.250 0.750 0.500
0.500 0.500 0.000
0.375 0.481 0.750
0.519 0.125 0.250
0.875 0.769 0.750
0.231 0.625 0.250
```

ΔE_f (raw) in eV/atom: 0.49
SG: I-42d (122)
Volume in Å³/cell: 275
Offset from the most stable computed form in meV/atom: 102
Spin magnetization in Bohr magnetons per cell: 0.00
Raw total energy in eV per atom: -4.1577

---

MnBi2Br | PBE | relaxed

Geometry as POSCAR:
```
MnBi2Br
1.0
0.000 3.754 3.754
3.754 0.000 3.754
3.754 3.754 0.000
Bi Mn Br
2 1 1
direct
0.750 0.750 0.750
0.250 0.250 0.250
0.000 0.000 0.000
0.500 0.500 0.500
```

ΔE_f (raw) in eV/atom: 0.39
SG: Fm-3m (225)
Volume in Å³/cell: 106
Offset from the most stable computed form in meV/atom: 0
Spin magnetization in Bohr magnetons per cell: 3.97
Raw total energy in eV per atom: -4.2599

---

Question: ΔE_f (raw) of number 2 (MnBi2Br)?
Answer: 0.39 eV/atom